{
  "formula": "SrTa2Re",
  "functional": "GGA-PBE",
  "state": "optimized geometry",
  "cell": [[4.292, 0.000, 0.000], [0.000, 3.076, 0.070], [0.000, 1.885, 7.121]],
  "species": ["Ta", "Ta", "Sr", "Re"],
  "frac_coords": [[0.000, 0.977, 0.084], [0.500, 0.292, 0.267], [0.500, 0.700, 0.734], [0.000, 0.531, 0.414]],
  "total_magnetization_mub_per_fu": 0.00,
  "delta_e_f_ev_per_atom": 0.5466,
  "polymorph_energy_kj_per_mol_atoms": 6.7,
  "dft_energy_ev_per_atom": -8.91
}